VASP calculation (SCAN) on a PBEsol-optimized structure of LiV3P3H2O12.

Cell: 6.5159 8.4892 8.4892 Å, 92.70 107.24 107.24°
Last column: nearest neighbours and their distance in Å.
Fractional coordinates of all 42 atoms:
Li (0.2500, 0.4840, 0.5160)  4 O 2.10-2.32
Li (0.7500, 0.5160, 0.4840)  4 O 2.10-2.32
V (0.1129, 0.5402, 0.8627)  6 O 2.09-2.14
V (0.6129, 0.8627, 0.5402)  6 O 2.09-2.14
V (0.2500, 0.2117, 0.7883)  6 O 2.10-2.17
V (0.7500, 0.7883, 0.2117)  6 O 2.10-2.17
V (0.3871, 0.1373, 0.4598)  6 O 2.09-2.14
V (0.8871, 0.4598, 0.1373)  6 O 2.09-2.14
P (0.1086, 0.8239, 0.5993)  4 O 1.54-1.58
P (0.6086, 0.5993, 0.8239)  4 O 1.54-1.58
P (0.2500, 0.8248, 0.1752)  4 O 1.54-1.56
P (0.7500, 0.1752, 0.8248)  4 O 1.54-1.56
P (0.3914, 0.4007, 0.1761)  4 O 1.54-1.58
P (0.8914, 0.1761, 0.4007)  4 O 1.54-1.58
H (0.1890, 0.8776, 0.8801)  2 O 1.15-1.24
H (0.6890, 0.8801, 0.8776)  2 O 1.15-1.24
H (0.3110, 0.1199, 0.1224)  2 O 1.15-1.24
H (0.8110, 0.1224, 0.1199)  2 O 1.15-1.24
O (0.2309, 0.7884, 0.9892)  1 H 1.24
O (0.1496, 0.9414, 0.7632)  1 H 1.15
O (0.7309, 0.9892, 0.7884)  1 H 1.24
O (0.6496, 0.7632, 0.9414)  1 H 1.15
O (0.3054, 0.8970, 0.5316)  1 P 1.54
O (0.0866, 0.6440, 0.6353)  1 P 1.54
O (0.3783, 0.4734, 0.8192)  1 P 1.55
O (0.8054, 0.5316, 0.8970)  1 P 1.54
O (0.5866, 0.6353, 0.6440)  1 P 1.54
O (0.8783, 0.8192, 0.4734)  1 P 1.55
O (0.0361, 0.7191, 0.2116)  1 P 1.54
O (0.4639, 0.7884, 0.2809)  1 P 1.54
O (0.5361, 0.2116, 0.7191)  1 P 1.54
O (0.9639, 0.2809, 0.7884)  1 P 1.54
O (0.1217, 0.1808, 0.5266)  1 P 1.55
O (0.4134, 0.3647, 0.3560)  1 P 1.54
O (0.1946, 0.4684, 0.1030)  1 P 1.54
O (0.6217, 0.5266, 0.1808)  1 P 1.55
O (0.9134, 0.3560, 0.3647)  1 P 1.54
O (0.6946, 0.1030, 0.4684)  1 P 1.54
O (0.3504, 0.2368, 0.0586)  1 H 1.15
O (0.2691, 0.0108, 0.2116)  1 H 1.24
O (0.8504, 0.0586, 0.2368)  1 H 1.15
O (0.7691, 0.2116, 0.0108)  1 H 1.24

## Properties
**Electronic total energy**: -432.42 eV/cell